Entry 1:
Material: Al2Co4Sb
Method: DFT, PBE-GGA
State: relaxed

Lattice parameters (Å, degrees): 6.987 6.987 6.987 142.38 142.38 54.25
Fractional coordinates of all 7 atoms:
Al1 0.111 0.111 0.000
Al2 0.889 0.889 0.000
Co1 0.000 0.500 0.500
Co2 0.300 0.300 0.000
Co3 0.500 0.000 0.500
Co4 0.700 0.700 0.000
Sb1 0.500 0.500 0.000

Values from the calculation:
Total magnetic moment in μB/cell: 3.9
Space-group type: I4/mmm (139)
Calculated density in g/cm3: 5.412
Formation energy without anion corrections in eV/atom: 0.84

***

Entry 2:
Material: PmSbS3
Method: DFT, PBE-GGA
State: relaxed

Lattice parameters (Å, degrees): 7.468 7.468 7.468 57.25 57.25 57.25
Fractional coordinates of all 10 atoms:
Pm1 0.143 0.143 0.143
Pm2 0.857 0.857 0.857
Sb1 0.337 0.337 0.337
Sb2 0.663 0.663 0.663
S1 0.036 0.461 0.751
S2 0.249 0.964 0.539
S3 0.461 0.751 0.036
S4 0.539 0.249 0.964
S5 0.751 0.036 0.461
S6 0.964 0.539 0.249

Values from the calculation:
Total magnetic moment in μB/cell: 0.0
Space-group type: R-3 (148)
Calculated density in g/cm3: 4.369
E above lowest polymorph in meV per atom: 17
Formation energy without anion corrections in eV/atom: -1.09

***

Entry 3:
Material: CaSc4Cr
Method: DFT, PBE-GGA
State: relaxed

Lattice parameters (Å, degrees): 6.070 6.070 6.070 60.00 60.00 60.00
Fractional coordinates of all 6 atoms:
Ca1 0.000 0.000 0.000
Sc1 0.376 0.376 0.376
Sc2 0.376 0.376 0.871
Sc3 0.376 0.871 0.376
Sc4 0.871 0.376 0.376
Cr1 0.750 0.750 0.750

Values from the calculation:
Total magnetic moment in μB/cell: 4.6
Space-group type: F-43m (216)
Calculated density in g/cm3: 2.855
Energy of formation from the pure elements in eV per atom: 0.497

***

Entry 4:
Material: Ca3IO3
Method: DFT, PBE-GGA
State: relaxed

Lattice parameters (Å, degrees): 8.914 8.914 8.914 44.61 44.61 44.61
Fractional coordinates of all 14 atoms:
Ca1 0.047 0.389 0.727
Ca2 0.273 0.953 0.611
Ca3 0.389 0.727 0.047
Ca4 0.611 0.273 0.953
Ca5 0.727 0.047 0.389
Ca6 0.953 0.611 0.273
I1 0.165 0.165 0.165
I2 0.835 0.835 0.835
O1 0.051 0.702 0.376
O2 0.298 0.624 0.949
O3 0.376 0.051 0.702
O4 0.624 0.949 0.298
O5 0.702 0.376 0.051
O6 0.949 0.298 0.624

Values from the calculation:
Total magnetic moment in μB/cell: 2.1
Space-group type: R-3 (148)
Calculated density in g/cm3: 3.085
Formation energy without anion corrections in eV/atom: -2.30

***

- Among the records above, which one has the lowest total magnetic moment?
  PmSbS3

***

- Among the records above, which one has the highest calculated density?
  Al2Co4Sb